[1]
# HfAs2PbBr

A PBEsol-optimized structure of HfAs2PbBr (SCAN, the Alexandria database).

Structure (POSCAR):
```
HfAs2PbBr
1.0
5.231 0.000 0.000
0.000 5.231 0.000
0.000 0.000 5.255
Hf As Pb Br
1 2 1 1
direct
0.000 0.000 0.000
0.000 0.500 0.500
0.500 0.000 0.500
0.500 0.500 0.500
0.500 0.500 0.000
```

Results
Total magnetic moment in μB per atom: 0.1196
ΔE_f (raw) in meV per atom: 1042
Raw total energy in eV/f.u.: -193.08
N(E_F) in states/eV per atom: 0.643
Space-group type: No. 123


[2]
# HfReAsBr2

A PBEsol-optimized structure of HfReAsBr2 (SCAN, the Alexandria database).

Structure (POSCAR):
```
HfReAsBr2
1.0
5.067 0.000 0.000
0.000 5.067 0.000
0.000 0.000 5.282
Hf Re As Br
1 1 1 2
direct
0.000 0.000 0.000
0.500 0.500 0.500
0.000 0.000 0.500
0.000 0.500 0.000
0.500 0.000 0.000
```

Results
Total magnetic moment in μB per atom: 1.1087
ΔE_f (raw) in meV per atom: 821
Raw total energy in eV/f.u.: -188.77
N(E_F) in states/eV per atom: 0.373
Space-group type: No. 123


[3]
# HfScAsBr2

A PBEsol-optimized structure of HfScAsBr2 (SCAN, the Alexandria database).

Structure (POSCAR):
```
HfScAsBr2
1.0
5.049 0.000 0.000
0.000 5.049 0.000
0.000 0.000 5.261
Hf Sc As Br
1 1 1 2
direct
0.000 0.000 0.000
0.500 0.500 0.500
0.000 0.000 0.500
0.000 0.500 0.000
0.500 0.000 0.000
```

Results
Total magnetic moment in μB per atom: 0.2627
ΔE_f (raw) in meV per atom: -373
Raw total energy in eV/f.u.: -137.88
N(E_F) in states/eV per atom: 0.494
Space-group type: No. 123